Entry 1:
Here is a relaxed structure of DyEr5Au6 from Alexandria via LeMat-Bulk. Energies are from GGA-PBE.

Cell and atoms, written as extended XYZ:
```
12
Lattice="4.8590 0.0005 -1.3590 -3.6386 7.0772 -3.6699 -0.1778 -1.0255 8.7012" Properties=species:S:1:pos:R:3 pbc="T T T"
Au 0.8430 0.1651 2.9998
Au -0.3179 2.8833 -1.1501
Au 1.3606 3.1689 4.8225
Au 2.6941 1.5341 0.2511
Au 0.1996 5.8870 0.6725
Au -1.6515 4.5180 3.4212
Er -0.6336 5.7301 -2.2922
Er 2.3730 4.3790 -0.9086
Er -1.3304 1.6731 4.5810
Er 0.5213 3.0261 1.8362
Er 1.6762 0.3221 5.9645
Dy 0.0000 0.0000 0.0000
```

Properties
The calculated density is 13.21 g cm⁻³. For the volume, the calculation gives 22.85 A^3/atom. Its calculated total energy is -57.64 eV per cell. The value obtained for the formation energy is -880 meV per atom. Its magnetization is 0.000 μB/atom.

***

Entry 2:
Here is a relaxed structure of Dy3ErAu4 from Alexandria via LeMat-Bulk. Energies are from GGA-PBE.

Cell and atoms, written as extended XYZ:
```
8
Lattice="3.5889 0.0000 0.0000 0.0000 3.5889 0.0000 0.0000 0.0000 14.3817" Properties=species:S:1:pos:R:3 pbc="T T T"
Au 0.0000 0.0000 12.6275
Au 0.0000 0.0000 5.3908
Au 0.0000 0.0000 1.7542
Au 0.0000 0.0000 8.9909
Er 1.7945 1.7945 0.0000
Dy 1.7945 1.7945 7.1908
Dy 1.7945 1.7945 10.8036
Dy 1.7945 1.7945 3.5781
```

Properties
The calculated density is 12.93 g cm⁻³. For the volume, the calculation gives 23.16 A^3/atom. Its calculated total energy is -38.39 eV per cell. The value obtained for the formation energy is -864 meV per atom. Its magnetization is 0.000 μB/atom.

***

Entry 3:
Here is a relaxed structure of DyErAu2 from Alexandria via LeMat-Bulk. Energies are from GGA-PBE.

Cell and atoms, written as extended XYZ:
```
4
Lattice="5.0718 0.0000 0.0000 2.5359 4.3923 0.0000 2.5359 1.4641 4.1411" Properties=species:S:1:pos:R:3 pbc="T T T"
Au 2.5359 1.4641 1.0353
Au 7.6076 4.3923 3.1058
Er 5.0718 2.9282 2.0705
Dy 0.0000 0.0000 0.0000
```

Properties
The calculated density is 13.03 g cm⁻³. The energy above the lowest structure with this stoichiometry comes out at 0.0236 eV per atom. For the volume, the calculation gives 23.06 A^3/atom. Its calculated total energy is -19.19 eV per cell. The value obtained for the formation energy is -867 meV per atom. Its magnetization is 0.000 μB/atom.

***

Entry 4:
Here is a relaxed structure of Dy2ErAu3 from Alexandria via LeMat-Bulk. Energies are from GGA-PBE.

Cell and atoms, written as extended XYZ:
```
6
Lattice="3.5689 0.0000 0.0000 0.0000 3.5689 0.0000 0.0000 0.0000 10.8730" Properties=species:S:1:pos:R:3 pbc="T T T"
Au 0.0000 0.0000 3.6604
Au 0.0000 0.0000 0.0000
Au 0.0000 0.0000 7.2126
Er 1.7845 1.7845 5.4365
Dy 1.7845 1.7845 9.0496
Dy 1.7845 1.7845 1.8233
```

Properties
The calculated density is 12.99 g cm⁻³. The energy above the lowest structure with this stoichiometry comes out at 0.0000 eV per atom. For the volume, the calculation gives 23.08 A^3/atom. Its calculated total energy is -28.83 eV per cell. The value obtained for the formation energy is -872 meV per atom. Its magnetization is 0.000 μB/atom.